Computed, not measured: a relaxed CoAgAsO crystal at the GGA+U level of DFT.

Results
Magnetization = 4.65 Bohr magnetons per cell
VASP energy = -4.487 eV per atom

a = 3.7021 Å, b = 6.9853 Å, c = 5.3825 Å
α = 90.00°, β = 90.00°, γ = 90.00°
Space group Pmc2_1 (No. 26)
Asymmetric unit:
Co 0.0000 0.1485 0.0000 x2
Ag 0.5000 0.2799 0.4247 x2
As 0.5000 0.3595 0.9037 x2
O 0.0000 0.0892 0.3430 x2